Entry 1:
YSe2: relaxed, PBE-GGA.

The structure in POSCAR format:
```
YSe2
1.0
-4.840 -0.107 -2.570
0.885 -3.264 4.314
-4.829 10.153 8.673
Y Se
4 8
Direct
0.667 0.333 0.410
0.333 0.667 0.590
0.333 0.667 0.910
0.667 0.333 0.090
0.000 0.000 0.500
0.323 0.162 0.250
0.838 0.677 0.250
0.162 0.323 0.750
0.677 0.838 0.750
0.162 0.838 0.750
0.838 0.162 0.250
0.000 0.000 0.000
```

Computed properties:
space group	P6_3/mmc (194)
total magnetic moment	1.74	μB per cell
ΔE_f (raw)	-64	kJ/mol of atoms

Entry 2:
SrCo2P: relaxed, PBE-GGA.

The structure in POSCAR format:
```
SrCo2P
1.0
-3.223 -1.199 0.565
1.529 -2.261 3.924
-0.997 3.928 2.649
Sr Co P
1 2 1
Direct
0.500 0.750 0.750
0.000 0.513 0.250
0.000 0.987 0.250
0.500 0.250 0.250
```

Computed properties:
space group	Pmmm (47)
total magnetic moment	0.82	μB per cell
energy relative to the elements	-0.203	eV per atom

Entry 3:
ZrInAsSe2: relaxed, PBE-GGA.

The structure in POSCAR format:
```
ZrInAsSe2
1.0
5.367 0.000 0.000
0.000 5.367 0.000
0.000 0.000 5.409
As Se Zr In
1 2 1 1
Direct
0.000 0.000 0.500
0.000 0.500 0.000
0.500 0.000 0.000
0.500 0.500 0.500
0.000 0.000 0.000
```

Computed properties:
space group	P4/mmm (123)
total magnetic moment	0.00	μB per cell
ΔE_f (raw)	57	kJ/mol of atoms

Entry 4:
CsK2Sn2Sb2: relaxed, PBE-GGA.

The structure in POSCAR format:
```
CsK2Sn2Sb2
1.0
4.414 0.000 0.000
-2.207 6.384 0.026
0.000 -2.759 10.355
K Cs Sn Sb
2 1 2 2
Direct
0.882 0.764 0.590
0.118 0.236 0.410
0.000 0.000 0.000
0.393 0.786 0.291
0.607 0.214 0.709
0.748 0.497 0.225
0.252 0.503 0.775
```

Computed properties:
space group	C2/m (12)
total magnetic moment	0.00	μB per cell
ΔE_f (raw)	-28	kJ/mol of atoms

Entry 5:
Tl3In3Ge: relaxed, PBE-GGA.

The structure in POSCAR format:
```
Tl3In3Ge
1.0
6.053 -0.376 -0.609
-2.173 5.661 -0.609
-0.009 -0.012 12.003
In Tl Ge
6 6 2
Direct
0.178 0.178 0.815
0.987 0.410 0.254
0.822 0.822 0.185
0.013 0.590 0.746
0.410 0.987 0.254
0.590 0.013 0.746
0.166 0.834 0.500
0.695 0.305 0.000
0.529 0.529 0.371
0.305 0.695 0.000
0.834 0.166 0.500
0.471 0.471 0.629
0.179 0.179 0.075
0.821 0.821 0.925
```

Computed properties:
space group	C2/m (12)
total magnetic moment	0.00	μB per cell
energy relative to the elements	0.069	eV per atom

Entry 6:
In7GaHg12: relaxed, PBE-GGA.

The structure in POSCAR format:
```
In7GaHg12
1.0
7.344 0.000 2.573
-3.933 7.777 3.380
-0.521 0.000 9.333
Hg In Ga
12 7 1
Direct
0.272 0.011 0.718
0.686 0.415 0.705
0.728 0.989 0.282
0.261 0.271 0.011
0.010 0.282 0.729
0.739 0.729 0.989
0.990 0.718 0.271
0.609 0.295 0.120
0.271 0.880 0.415
0.729 0.120 0.585
0.314 0.585 0.295
0.391 0.705 0.880
0.183 0.190 0.403
0.500 0.000 0.000
0.993 0.406 0.190
0.817 0.810 0.597
0.007 0.594 0.810
0.413 0.597 0.594
0.587 0.403 0.406
0.000 0.000 0.000
```

Computed properties:
space group	R-3 (148)
total magnetic moment	0.00	μB per cell
energy relative to the elements	0.036	eV per atom

Entry 7:
Cu2BiH: relaxed, PBE-GGA.

The structure in POSCAR format:
```
Cu2BiH
1.0
-0.353 4.804 0.360
-3.762 -0.500 2.988
1.167 2.085 5.722
Cu Bi H
4 2 2
Direct
0.379 0.625 0.250
0.875 0.621 0.750
0.371 0.125 0.250
0.375 0.629 0.750
0.750 0.250 0.500
0.000 0.000 0.000
0.250 0.750 0.500
0.500 0.500 0.000
```

Computed properties:
space group	I-42d (122)
total magnetic moment	0.00	μB per cell
E_tot	-29.06	eV/cell

Entry 8:
Tb3Co7Cu2: relaxed, PBE-GGA.

The structure in POSCAR format:
```
Tb3Co7Cu2
1.0
4.740 0.000 1.484
2.138 4.231 1.484
-0.147 -0.091 8.785
Co Tb Cu
7 3 2
Direct
0.500 0.500 0.500
0.417 0.417 0.248
0.583 0.583 0.752
0.082 0.583 0.752
0.583 0.082 0.752
0.918 0.417 0.248
0.417 0.918 0.248
0.139 0.139 0.582
0.861 0.861 0.418
0.000 0.000 0.000
0.334 0.334 0.999
0.666 0.666 0.001
```

Computed properties:
space group	R-3m (166)
total magnetic moment	7.31	μB per cell
energy relative to the elements	-0.164	eV per atom